# Mn2ReAs

A geometry-optimized Mn2ReAs structure (PBE, Alexandria via LeMat-Bulk).

- Fermi-level density of states (states/eV/atom) = 0.951
- DFT formation energy (eV/atom) = 0.29
- calculated total energy (eV per cell) = -102.787

abc: 2.7638 2.7638 24.1053
angles: 90.00 90.00 120.00
Closest atoms and distances in Å follow each position.
Space group R3m (No. 160, hexagonal axes)
One atom of each set of equivalent atoms:
Mn (0.0000, 0.0000, 0.0000) [3 per cell]  3 Mn 2.46, 3 Re 2.59
Mn (0.0000, 0.0000, 0.2557) [3 per cell]  3 Mn 2.46, 3 As 2.48
Re (0.0000, 0.0000, 0.7512) [3 per cell]  3 Mn 2.59, 3 As 2.75, 6 Re 2.76
As (0.0000, 0.0000, 0.5106) [3 per cell]  3 Mn 2.48, 3 Re 2.75, 6 As 2.76